# ErTl2InCl6

A relaxed structure of ErTl2InCl6 (PBE-GGA, Alexandria).

Summary:
Total magnetization = 0.00 μB/atom
Total energy = -0.2807 Ry/atom

Unit cell a=7.977 b=7.977 c=7.977 alpha=58.62 beta=58.62 gamma=58.62
Atoms (fractional coordinates):
Er: 0.000 0.000 0.000
Tl: 0.298 0.298 0.298
Tl: 0.788 0.788 0.788
In: 0.510 0.510 0.510
Cl: 0.124 0.324 0.765
Cl: 0.198 0.884 0.667
Cl: 0.324 0.765 0.124
Cl: 0.667 0.198 0.884
Cl: 0.765 0.124 0.324
Cl: 0.884 0.667 0.198